No. 1
VASP calculation (PBE) on a geometry-optimized FeNiOs structure.

## Properties
The value obtained for the distance to the lowest polymorph of the same formula is 46 meV/atom. As for the space group: No. 107. For the formation energy, the calculation gives 0.15 eV per atom. The value obtained for the total magnetic moment is 1.99 μB/f.u.

Cell lengths 5.6655, 5.6655, 5.6655 Å; angles 153.21, 153.21, 38.25 degrees
Site moments in Bohr magnetons follow the coordinates.
Positions (direct):
Ni  0.3372  0.3372  0.0000  0.33
Os  0.6638  0.6638  0.0000  -0.28
Fe  0.9990  0.9990  0.0000  1.96

No. 2
VASP calculation (PBE) on a geometry-optimized SnPbSeF2 structure.

## Properties
The calculation puts the energy relative to the elements, uncorrected at -0.542 eV/atom. As for the space group: No. 123. The value obtained for the total magnetic moment is 0.00 μB/f.u.

Cell lengths 4.4373, 6.0046, 4.4373 Å; angles 90.00, 90.00, 90.00 degrees
Positions (direct):
Sn  0.5000  0.5000  0.5000
Se  0.0000  0.0000  0.0000
Pb  0.0000  0.5000  0.0000
F  0.0000  0.0000  0.5000
F  0.5000  0.0000  0.0000

No. 3
VASP calculation (PBE) on a geometry-optimized Re2TcPtF structure.

## Properties
The calculation puts the energy relative to the elements, uncorrected at 1.194 eV/atom. As for the space group: No. 123. The value obtained for the total magnetic moment is 0.00 μB/f.u.

Cell lengths 4.0688, 4.0688, 4.4716 Å; angles 90.00, 90.00, 90.00 degrees
Positions (direct):
Re  0.0000  0.5000  0.0000
Re  0.5000  0.0000  0.0000
F  0.0000  0.0000  0.0000
Pt  0.0000  0.0000  0.5000
Tc  0.5000  0.5000  0.5000

No. 4
VASP calculation (PBE) on a geometry-optimized Ac2Sm5DyY structure.

## Properties
As for the space group: No. 36. For the formation energy, the calculation gives 0.15 eV per atom. The value obtained for the total magnetic moment is 0.00 μB/f.u.

Cell lengths 5.8150, 10.6870, 10.9345 Å; angles 90.00, 90.00, 105.79 degrees
Positions (direct):
Y  0.4087  0.8175  0.4652
Y  0.5913  0.1825  0.9652
Ac  0.1168  0.2335  0.3184
Ac  0.8832  0.7665  0.8184
Ac  0.1123  0.2245  0.7334
Ac  0.8877  0.7755  0.2334
Sm  0.7036  0.4073  0.2028
Sm  0.5182  0.0364  0.2419
Sm  0.6108  0.2216  0.5219
Sm  0.2964  0.5927  0.7028
Sm  0.7185  0.4369  0.8078
Sm  0.3892  0.7784  0.0219
Sm  0.9811  0.9623  0.5228
Sm  0.2815  0.5631  0.3078
Sm  0.4818  0.9636  0.7419
Sm  0.0189  0.0377  0.0228
Dy  0.7949  0.5899  0.5098
Dy  0.2051  0.4101  0.0098

No. 5
VASP calculation (PBE) on a geometry-optimized TmUS2 structure.

## Properties
The value obtained for the distance to the lowest polymorph of the same formula is 475 meV/atom. The calculation puts the energy relative to the elements, uncorrected at -1.172 eV/atom. As for the space group: No. 166. The value obtained for the total magnetic moment is 3.76 μB/f.u.

Cell lengths 4.7836, 4.7836, 4.7897 Å; angles 60.04, 60.04, 60.00 degrees
Site moments in Bohr magnetons follow the coordinates.
Positions (direct):
Tm  0.5000  0.5000  0.5000  0.54
S  0.2499  0.2499  0.2504  -0.05
S  0.7501  0.7501  0.7496  -0.05
U  0.0000  0.0000  0.0000  2.86

No. 6
VASP calculation (PBE) on a geometry-optimized K2Ta structure.

## Properties
The value obtained for the distance to the lowest polymorph of the same formula is 642 meV/atom. As for the space group: No. 139. For the formation energy, the calculation gives 1.33 eV per atom. The value obtained for the total magnetic moment is 1.23 μB/f.u.

Cell lengths 10.5601, 10.5601, 10.5601 Å; angles 163.14, 163.14, 23.93 degrees
Site moments in Bohr magnetons follow the coordinates.
Positions (direct):
K  0.3552  0.3552  0.0000  0.03
K  0.6448  0.6448  0.0000  0.03
Ta  0.0000  0.0000  0.0000  0.49

No. 7
VASP calculation (PBE) on a geometry-optimized LiPuMgIn structure.

## Properties
As for the space group: No. 216. For the formation energy, the calculation gives -0.04 eV per atom. The value obtained for the total magnetic moment is 5.86 μB/f.u.

Cell lengths 5.1157, 5.1157, 5.1157 Å; angles 60.00, 60.00, 60.00 degrees
Site moments in Bohr magnetons follow the coordinates.
Positions (direct):
In  0.7500  0.7500  0.7500  -0.03
Mg  0.0000  0.0000  0.0000  -0.01
Pu  0.5000  0.5000  0.5000  5.47
Li  0.2500  0.2500  0.2500  0.06

No. 8
VASP calculation (PBE) on a geometry-optimized CaTbTlAu structure.

## Properties
The value obtained for the distance to the lowest polymorph of the same formula is 42 meV/atom. As for the space group: No. 216. For the formation energy, the calculation gives -0.58 eV per atom. The value obtained for the total magnetic moment is 0.00 μB/f.u.

Cell lengths 5.2674, 5.2674, 5.2674 Å; angles 60.00, 60.00, 60.00 degrees
Positions (direct):
Ca  0.2500  0.2500  0.2500
Au  0.5000  0.5000  0.5000
Tl  0.0000  0.0000  0.0000
Tb  0.7500  0.7500  0.7500

No. 9
VASP calculation (PBE) on a geometry-optimized PtCl3F structure.

## Properties
The value obtained for the distance to the lowest polymorph of the same formula is 88 meV/atom. The calculation puts the energy relative to the elements, uncorrected at -0.486 eV/atom. As for the space group: No. 12. The value obtained for the total magnetic moment is 0.44 μB/f.u.

Cell lengths 6.9855, 6.9855, 6.9968 Å; angles 108.91, 99.06, 121.18 degrees
Site moments in Bohr magnetons follow the coordinates.
Positions (direct):
Cl  0.1014  0.7822  0.8203  0.03
Cl  0.5319  0.3162  0.2847  0.02
Cl  0.0318  0.8162  0.2847  0.02
Cl  0.9619  0.2811  0.1797  0.03
Cl  0.5315  0.7471  0.7153  0.02
Cl  0.0315  0.2471  0.7153  0.02
Pt  0.0316  0.5316  0.0000  0.25
Pt  0.5317  0.0317  0.0000  0.25
F  0.4133  0.7813  0.1312  0.08
F  0.6500  0.2821  0.8688  0.08

No. 10
VASP calculation (PBE) on a geometry-optimized La3Tc2N6 structure.

## Properties
The calculation puts the energy relative to the elements, uncorrected at -0.890 eV/atom. As for the space group: No. 139. The value obtained for the total magnetic moment is 0.00 μB/f.u.

Cell lengths 3.9580, 3.9580, 10.3873 Å; angles 100.98, 100.98, 90.00 degrees
Positions (direct):
Tc  0.5947  0.5947  0.1894
Tc  0.4053  0.4053  0.8106
N  0.5871  0.0871  0.1742
N  0.0871  0.5871  0.1742
N  0.4129  0.9129  0.8258
N  0.3026  0.3026  0.6053
N  0.9129  0.4129  0.8258
N  0.6974  0.6974  0.3947
La  0.0000  0.0000  0.0000
La  0.8166  0.8166  0.6332
La  0.1834  0.1834  0.3668

No. 11
VASP calculation (PBE) on a geometry-optimized Ac8Co3SBr4 structure.

## Properties
The calculation puts the energy relative to the elements, uncorrected at -0.947 eV/atom. As for the space group: No. 166. The value obtained for the total magnetic moment is 0.00 μB/f.u.

Cell lengths 8.6038, 9.5714, 8.6073 Å; angles 116.72, 119.99, 90.00 degrees
Positions (direct):
Co  0.5000  0.5000  0.5000
Co  0.5000  0.5000  0.0000
Co  0.0000  0.5000  0.5000
Br  0.0000  0.0000  0.0000
Br  0.5000  0.0000  0.5000
Br  0.0000  0.0000  0.5000
Br  0.5000  0.0000  0.0000
Ac  0.7172  0.6954  0.9564
Ac  0.7609  0.3046  0.5218
Ac  0.2391  0.6954  0.4782
Ac  0.2828  0.3046  0.0436
Ac  0.2706  0.3120  0.5411
Ac  0.7294  0.6880  0.4589
Ac  0.2392  0.6954  0.9564
Ac  0.7608  0.3046  0.0436
S  0.0000  0.5000  0.0000

No. 12
VASP calculation (PBE) on a geometry-optimized Zn4CrNi15 structure.

## Properties
As for the space group: No. 123. For the formation energy, the calculation gives -0.10 eV per atom. The value obtained for the total magnetic moment is 4.85 μB/f.u.

Cell lengths 3.5585, 3.5585, 17.9074 Å; angles 90.00, 90.00, 90.00 degrees
Site moments in Bohr magnetons follow the coordinates.
Positions (direct):
Ni  0.5000  0.5000  0.3996  0.40
Ni  0.0000  0.5000  0.7012  0.41
Ni  0.5000  0.0000  0.0954  0.08
Ni  0.5000  0.0000  0.7012  0.41
Ni  0.5000  0.0000  0.5000  0.43
Ni  0.5000  0.5000  0.8023  0.32
Ni  0.0000  0.5000  0.9046  0.08
Ni  0.0000  0.5000  0.2988  0.41
Ni  0.5000  0.5000  0.1977  0.32
Ni  0.5000  0.5000  0.0000  -0.01
Ni  0.0000  0.5000  0.5000  0.43
Ni  0.5000  0.0000  0.2988  0.41
Ni  0.5000  0.0000  0.9046  0.08
Ni  0.0000  0.5000  0.0954  0.08
Ni  0.5000  0.5000  0.6004  0.40
Zn  0.0000  0.0000  0.8015  -0.02
Zn  0.0000  0.0000  0.3993  -0.02
Zn  0.0000  0.0000  0.6007  -0.02
Zn  0.0000  0.0000  0.1985  -0.02
Cr  0.0000  0.0000  0.0000  0.86

No. 13
VASP calculation (PBE) on a geometry-optimized Al2InSe structure.

## Properties
The value obtained for the distance to the lowest polymorph of the same formula is 308 meV/atom. The calculation puts the energy relative to the elements, uncorrected at 0.207 eV/atom. As for the space group: No. 225. The value obtained for the total magnetic moment is 0.00 μB/f.u.

Cell lengths 4.9169, 4.9169, 4.9169 Å; angles 60.00, 60.00, 60.00 degrees
Positions (direct):
Al  0.7500  0.7500  0.7500
Al  0.2500  0.2500  0.2500
Se  0.0000  0.0000  0.0000
In  0.5000  0.5000  0.5000